Record 1
! PBE SiSe2SN, relaxed; values from VASP
! * crystal system: tetragonal
! * spin magnetization: 0.0000 μB/atom
! * offset from the most stable computed form: 0.0000 eV/atom
! * E_form (uncorrected): 554 meV per atom
! * symmetry: P4/mmm, No. 123
! * uncorrected energy: -4.415 eV per atom
&SYSTEM
  ibrav = 0, nat = 5, ntyp = 4
/
ATOMIC_SPECIES
Se 78.96 Se.upf
S 32.06 S.upf
N 14.01 N.upf
Si 28.09 Si.upf
ATOMIC_POSITIONS crystal
Se 0.500 0.000 0.000
Se 0.000 0.500 0.000
S 0.500 0.500 0.500
N 0.000 0.000 0.500
Si 0.000 0.000 0.000
CELL_PARAMETERS angstrom
-3.601 -3.448 -0.978
1.318 0.015 -4.907
2.159 -2.418 0.572

Record 2
! PBE SiSeSN2, relaxed; values from VASP
! * crystal system: tetragonal
! * spin magnetization: 0.0000 μB/atom
! * offset from the most stable computed form: 0.8650 eV/atom
! * E_form (uncorrected): 1455 meV per atom
! * symmetry: P4/mmm, No. 123
! * uncorrected energy: -4.482 eV per atom
&SYSTEM
  ibrav = 0, nat = 5, ntyp = 4
/
ATOMIC_SPECIES
Si 28.09 Si.upf
S 32.06 S.upf
N 14.01 N.upf
Se 78.96 Se.upf
ATOMIC_POSITIONS crystal
Si 0.500 0.500 0.500
S 0.000 0.000 0.000
N 0.500 0.000 0.000
N 0.000 0.500 0.000
Se 0.000 0.000 0.500
CELL_PARAMETERS angstrom
-0.853 3.397 0.094
-2.912 -0.681 -1.826
-3.353 -1.001 5.721

Record 3
! PBE SiSeSN2, relaxed; values from VASP
! * crystal system: tetragonal
! * spin magnetization: 0.0000 μB/atom
! * offset from the most stable computed form: 0.0000 eV/atom
! * E_form (uncorrected): 590 meV per atom
! * symmetry: P4/mmm, No. 123
! * uncorrected energy: -5.347 eV per atom
&SYSTEM
  ibrav = 0, nat = 5, ntyp = 4
/
ATOMIC_SPECIES
N 14.01 N.upf
S 32.06 S.upf
Si 28.09 Si.upf
Se 78.96 Se.upf
ATOMIC_POSITIONS crystal
N 0.000 0.500 0.000
N 0.500 0.000 0.000
S 0.500 0.500 0.500
Si 0.000 0.000 0.000
Se 0.000 0.000 0.500
CELL_PARAMETERS angstrom
3.447 0.000 0.000
0.000 3.447 0.000
0.000 0.000 7.065

Record 4
! PBE Sm4Se2SN2, relaxed; values from VASP
! * crystal system: monoclinic
! * spin magnetization: 0.0000 μB/atom
! * E_form (uncorrected): -1750 meV per atom
! * symmetry: C2/m, No. 12
! * uncorrected energy: -6.931 eV per atom
&SYSTEM
  ibrav = 0, nat = 9, ntyp = 4
/
ATOMIC_SPECIES
Sm 150.36 Sm.upf
Se 78.96 Se.upf
N 14.01 N.upf
S 32.06 S.upf
ATOMIC_POSITIONS crystal
Sm 0.210 0.167 0.420
Sm 0.545 0.763 0.090
Sm 0.790 0.833 0.580
Sm 0.455 0.237 0.910
Se 0.872 0.462 0.743
Se 0.128 0.538 0.257
N 0.674 0.989 0.349
N 0.326 0.011 0.651
S 0.000 0.000 0.000
CELL_PARAMETERS angstrom
3.977 0.000 0.000
0.000 7.092 0.311
-1.988 -2.493 7.222